# GGA-PBE Sm8Ho6Al, optimized geometry
data_Sm8Ho6Al
_cell_length_a 9.3814
_cell_length_b 9.3814
_cell_length_c 6.3339
_cell_angle_alpha 90.00
_cell_angle_beta 90.00
_cell_angle_gamma 120.00
_symmetry_space_group_name_H-M 'P -3'
_symmetry_Int_Tables_number 147
_symmetry_space_group_name_Hall '-P 3'
loop_
_atom_site_label
_atom_site_fract_x
_atom_site_fract_y
_atom_site_fract_z
Sm1 0.0440 0.2647 0.1929
Sm2 0.3333 0.6667 0.1821
Ho1 0.0972 0.4544 0.6804
Al1 0.0000 0.0000 0.5000
# - total magnetic moment (μB per cell) = 0.0
# - formation energy (eV/f.u.) = 1.458